Here is a geometry-optimized MnBe2Al structure from the Alexandria database. Energies are from GGA-PBEsol.

a = 2.545 Å, b = 2.545 Å, c = 7.934 Å
α = 80.77°, β = 80.77°, γ = 60.00°
Atoms (fractional coordinates):
Be: 0.244 0.244 0.269
Be: 0.756 0.756 0.731
Mn: 0.500 0.500 0.500
Al: 0.000 0.000 0.000

Properties
SG   R-3m (166)
Calculated formation energy   241.3 meV/atom
Spin magnetization   1.158 μB per cell
Fermi-level density of states   2.65 states/eV/f.u.
Final energy   -20.887 eV/cell